Material: La3Mo4O16F
Method: DFT, SCAN
State: single point on PBEsol structure

Calculated values
- density (Mg/m³) = 4.91
- Fermi-level density of states (states/eV per cell) = 0.0
- symmetry = No. 2
- formation energy (no corrections) (eV/atom) = -2.8498
- VASP energy (eV per atom) = -18.354

abc: 7.1983 7.3939 14.6512
angles: 102.59 101.39 99.77
Positions (direct):
O 0.0314 0.7862 0.7132
O 0.9313 0.7706 0.9381
O 0.2468 0.3078 0.5425
O 0.1900 0.9175 0.2147
O 0.5647 0.1526 0.2235
O 0.5259 0.7547 0.1987
O 0.8349 0.5830 0.0821
F 0.7662 0.5164 0.2701
O 0.1406 0.9606 0.4072
O 0.3320 0.8922 0.0449
La 0.8907 0.8353 0.2600
O 0.4481 0.8309 0.5032
O 0.3952 0.3884 0.3604
O 0.2594 0.9974 0.6150
La 0.2797 0.6566 0.6058
Mo 0.6000 0.0743 0.8294
Mo 0.8414 0.5737 0.6686
O 0.9094 0.4515 0.5666
La 0.7203 0.3434 0.3942
Mo 0.2285 0.2587 0.9881
O 0.7406 0.0026 0.3850
O 0.4647 0.3352 0.0595
O 0.6680 0.1078 0.9551
La 0.1093 0.1647 0.7400
O 0.7532 0.6922 0.4575
O 0.1206 0.5435 0.2408
O 0.5353 0.6648 0.9405
O 0.6048 0.6116 0.6396
O 0.0906 0.5485 0.4334
O 0.8100 0.0825 0.7853
F 0.2338 0.4836 0.7299
Mo 0.7715 0.7413 0.0119
La 0.2149 0.7186 0.8755
O 0.1651 0.4170 0.9179
O 0.8794 0.4565 0.7592
O 0.8594 0.0394 0.5928
O 0.4741 0.2453 0.8013
Mo 0.6903 0.9113 0.4857
O 0.5519 0.1691 0.4968
O 0.2072 0.0543 0.8909
Mo 0.4000 0.9257 0.1706
Mo 0.1586 0.4263 0.3314
O 0.0687 0.2294 0.0619
O 0.9686 0.2138 0.2868
O 0.7928 0.9457 0.1091
Mo 0.3097 0.0887 0.5143
La 0.7851 0.2814 0.1245
O 0.4353 0.8474 0.7765

Material: LaNbN2F
Method: DFT, SCAN
State: single point on PBEsol structure

Calculated values
- density (Mg/m³) = 6.73
- Fermi-level density of states (states/eV per cell) = 1.6
- symmetry = No. 123
- formation energy (no corrections) (eV/atom) = -1.7226
- VASP energy (eV per atom) = -21.394

abc: 4.0196 4.1371 4.1371
angles: 90.00 90.00 90.00
Positions (direct):
Nb 0.0000 0.0000 0.0000
N 0.0000 0.0000 0.5000
F 0.5000 0.0000 0.0000
La 0.5000 0.5000 0.5000
N 0.0000 0.5000 0.0000

Material: LaNO2F
Method: DFT, SCAN
State: single point on PBEsol structure

Calculated values
- density (Mg/m³) = 5.95
- Fermi-level density of states (states/eV per cell) = 2.1
- symmetry = No. 123
- formation energy (no corrections) (eV/atom) = -0.4759
- VASP energy (eV per atom) = -14.156

abc: 3.6351 3.9572 3.9572
angles: 90.00 90.00 90.00
Positions (direct):
O 0.0000 0.5000 0.0000
La 0.5000 0.5000 0.5000
N 0.5000 0.0000 0.0000
O 0.0000 0.0000 0.5000
F 0.0000 0.0000 0.0000

Material: LaRuNF2
Method: DFT, SCAN
State: single point on PBEsol structure

Calculated values
- density (Mg/m³) = 7.00
- Fermi-level density of states (states/eV per cell) = 2.9
- symmetry = No. 123
- formation energy (no corrections) (eV/atom) = -1.4556
- VASP energy (eV per atom) = -20.316

abc: 3.8033 4.2663 4.2663
angles: 90.00 90.00 90.00
Positions (direct):
F 0.0000 0.0000 0.5000
F 0.0000 0.5000 0.0000
N 0.5000 0.0000 0.0000
Ru 0.0000 0.0000 0.0000
La 0.5000 0.5000 0.5000

Material: LaSN2F
Method: DFT, SCAN
State: single point on PBEsol structure

Calculated values
- density (Mg/m³) = 6.03
- Fermi-level density of states (states/eV per cell) = 1.5
- symmetry = No. 123
- formation energy (no corrections) (eV/atom) = -0.5170
- VASP energy (eV per atom) = -15.488

abc: 3.7850 3.7850 4.1922
angles: 90.00 90.00 90.00
Positions (direct):
F 0.0000 0.0000 0.5000
La 0.5000 0.5000 0.5000
N 0.0000 0.5000 0.0000
N 0.5000 0.0000 0.0000
S 0.0000 0.0000 0.0000

Material: LaSbN2F
Method: DFT, SCAN
State: single point on PBEsol structure

Calculated values
- density (Mg/m³) = 6.89
- Fermi-level density of states (states/eV per cell) = 0.8
- symmetry = No. 123
- formation energy (no corrections) (eV/atom) = -0.8725
- VASP energy (eV per atom) = -21.370

abc: 4.1721 4.2163 4.2163
angles: 90.00 90.00 90.00
Positions (direct):
N 0.0000 0.0000 0.5000
La 0.5000 0.5000 0.5000
Sb 0.0000 0.0000 0.0000
N 0.0000 0.5000 0.0000
F 0.5000 0.0000 0.0000

Material: LaSbN2F
Method: DFT, SCAN
State: single point on PBEsol structure

Calculated values
- density (Mg/m³) = 5.57
- Fermi-level density of states (states/eV per cell) = 2.1
- symmetry = No. 123
- formation energy (no corrections) (eV/atom) = -0.1136
- VASP energy (eV per atom) = -20.611

abc: 4.3937 4.5679 4.5679
angles: 90.00 90.00 90.00
Positions (direct):
N 0.0000 0.0000 0.5000
N 0.0000 0.5000 0.0000
Sb 0.5000 0.5000 0.5000
F 0.5000 0.0000 0.0000
La 0.0000 0.0000 0.0000

Material: La3SiN4F
Method: DFT, SCAN
State: single point on PBEsol structure

Calculated values
- density (Mg/m³) = 6.69
- Fermi-level density of states (states/eV per cell) = 0.0
- symmetry = No. 62
- formation energy (no corrections) (eV/atom) = -2.0999
- VASP energy (eV per atom) = -22.104

abc: 6.8168 7.6945 9.8389
angles: 90.00 90.00 90.00
Positions (direct):
La 0.9130 0.2500 0.9677
La 0.5870 0.2500 0.4677
N 0.8093 0.5543 0.9230
N 0.5236 0.2500 0.0068
Si 0.1909 0.2500 0.6061
F 0.6610 0.2500 0.7269
Si 0.6909 0.7500 0.8939
N 0.4764 0.7500 0.9932
La 0.5989 0.5255 0.1626
La 0.0989 0.4745 0.3374
N 0.3093 0.4457 0.5770
N 0.6907 0.5543 0.4230
N 0.9764 0.2500 0.5068
N 0.6278 0.7500 0.7213
F 0.1610 0.7500 0.7731
N 0.1278 0.2500 0.7787
N 0.8093 0.9457 0.9230
La 0.4130 0.7500 0.5323
Si 0.3091 0.2500 0.1061
N 0.3093 0.0543 0.5770
F 0.3390 0.7500 0.2731
La 0.9011 0.5255 0.6626
La 0.9011 0.9745 0.6626
N 0.0236 0.7500 0.4932
F 0.8390 0.2500 0.2269
La 0.0989 0.0255 0.3374
N 0.1907 0.0543 0.0770
Si 0.8091 0.7500 0.3939
N 0.1907 0.4457 0.0770
N 0.3722 0.2500 0.2787
La 0.4011 0.0255 0.8374
N 0.8722 0.7500 0.2213
La 0.4011 0.4745 0.8374
La 0.5989 0.9745 0.1626
N 0.6907 0.9457 0.4230
La 0.0870 0.7500 0.0323